LiDy4Tl5 PBE optimized geometry; volume = 25.984 Å³/atom; uncorrected energy = -35.43 eV/cell; space-group type = No. 123
1.0
3.5947 0.0000 0.0000
0.0000 3.5947 0.0000
0.0000 0.0000 20.1084
Li Dy Tl
1 4 5
direct
0.0000 0.0000 0.0000
0.0000 0.0000 0.1850
0.0000 0.0000 0.3946
0.0000 0.0000 0.6054
0.0000 0.0000 0.8150
0.5000 0.5000 0.0812
0.5000 0.5000 0.2899
0.5000 0.5000 0.5000
0.5000 0.5000 0.7101
0.5000 0.5000 0.9188